SbAu8 (GGA-PBEsol, optimized geometry); formation energy from raw total energies = 25.6 kJ/mol of formula units; E_tot = -3.9650 eV/atom; symmetry = I4/mmm (139)
1.0
-4.402 4.402 2.059
4.402 -4.402 2.059
4.402 4.402 -2.059
Sb Au
1 8
Cartesian
0.000 0.000 0.000
2.962 0.000 0.000
5.841 0.000 0.000
2.905 2.905 0.000
1.496 -1.496 2.059
0.000 2.962 0.000
0.000 5.841 0.000
-1.496 1.496 2.059
1.496 1.496 2.059

=====

Sb3Au5 (GGA-PBEsol, optimized geometry); formation energy from raw total energies = 24.7 kJ/mol of formula units; E_tot = -4.1295 eV/atom; symmetry = Pm (6)
1.0
3.026 0.000 0.000
0.000 6.872 0.000
-0.063 0.000 7.967
Sb Au
3 5
Cartesian
0.000 0.000 0.000
0.093 3.436 0.595
1.546 0.000 4.539
-0.047 2.039 6.048
-0.047 4.833 6.048
-0.018 1.468 2.487
-0.018 5.404 2.487
1.478 3.436 3.997

=====

Sb3Au (GGA-PBEsol, optimized geometry); formation energy from raw total energies = 80.5 kJ/mol of formula units; E_tot = -4.1903 eV/atom; ΔE to the lowest computed polymorph = 23.9 kJ per mole of atoms; symmetry = P4/mmm (123)
1.0
5.215 0.000 0.000
0.000 5.215 0.000
0.000 0.000 3.460
Sb Au
3 1
Cartesian
0.000 0.000 0.000
0.000 2.607 1.730
2.607 0.000 1.730
2.607 2.607 0.000

=====

Sb2Au3 (GGA-PBEsol, optimized geometry); formation energy from raw total energies = 8.6 kJ/mol of formula units; E_tot = -4.1594 eV/atom; symmetry = P-3m1 (164)
1.0
3.879 0.000 0.000
-1.940 3.360 0.000
0.000 0.000 8.444
Sb Au
2 3
Cartesian
0.000 2.240 2.482
1.940 1.120 5.962
0.000 0.000 4.222
0.000 2.240 7.613
1.940 1.120 0.831

=====

Sb3Au (GGA-PBEsol, optimized geometry); formation energy from raw total energies = -11.8 kJ/mol of formula units; E_tot = -4.4295 eV/atom; ΔE to the lowest computed polymorph = 0.8 kJ per mole of atoms; symmetry = Cmmm (65)
1.0
2.935 -4.157 0.000
2.935 4.157 0.000
0.000 0.000 4.126
Sb Au
3 1
Cartesian
0.000 0.000 0.000
2.935 1.869 2.063
2.935 -1.869 2.063
2.935 0.000 0.000

=====

SbAu3 (GGA-PBEsol, optimized geometry); formation energy from raw total energies = 12.0 kJ/mol of formula units; E_tot = -4.0512 eV/atom; symmetry = Cmcm (63)
1.0
3.360 -4.827 0.000
3.360 4.827 0.000
0.000 0.000 4.690
Sb Au
2 6
Cartesian
3.360 3.458 3.518
3.360 -3.458 1.173
1.927 0.826 3.518
3.360 1.785 1.173
1.927 -0.826 1.173
4.793 0.826 3.518
3.360 -1.785 3.518
4.793 -0.826 1.173